(1)
## Li4InAg3 (PBE)

Data for crystalline Li4InAg3 at its relaxed geometry.

a = 17.0781 Å, b = 3.9380 Å, c = 4.3246 Å
α = 90.00°, β = 104.50°, γ = 90.00°
Last column: nearest neighbours and their distance in Å.
Element x y z (fractional)
1 Li 0.1241 0.0000 0.1236  6 Ag 2.84-2.93, 4 Li 2.86-3.02, 2 In 2.98
2 Li 0.2492 0.5000 0.2495  4 Ag 2.77-2.90, 8 Li 2.86-3.02
3 Li 0.2508 0.0000 0.7505  4 Ag 2.77-2.90, 8 Li 2.86-3.02
4 Li 0.3759 0.5000 0.8764  6 Ag 2.84-2.93, 4 Li 2.86-3.02, 2 In 2.98
5 Li 0.6241 0.5000 0.1236  6 Ag 2.84-2.93, 4 Li 2.86-3.02, 2 In 2.98
6 Li 0.7492 0.0000 0.2495  4 Ag 2.77-2.90, 8 Li 2.86-3.02
7 Li 0.7508 0.5000 0.7505  4 Ag 2.77-2.90, 8 Li 2.86-3.02
8 Li 0.8759 0.0000 0.8764  6 Ag 2.84-2.93, 4 Li 2.86-3.02, 2 In 2.98
9 In 0.0000 0.0000 0.5000  8 Ag 2.92-2.95, 4 Li 2.98
10 In 0.5000 0.5000 0.5000  8 Ag 2.92-2.95, 4 Li 2.98
11 Ag 0.0000 0.5000 0.0000  4 Li 2.84, 4 In 2.92, 4 Ag 3.08-3.09
12 Ag 0.1330 0.5000 0.6336  8 Li 2.77-2.93, 2 In 2.95, 2 Ag 3.08-3.09
13 Ag 0.3670 0.0000 0.3664  8 Li 2.77-2.93, 2 In 2.95, 2 Ag 3.08-3.09
14 Ag 0.5000 0.0000 0.0000  4 Li 2.84, 4 In 2.92, 4 Ag 3.08-3.09
15 Ag 0.6330 0.0000 0.6336  8 Li 2.77-2.93, 2 In 2.95, 2 Ag 3.08-3.09
16 Ag 0.8670 0.5000 0.3664  8 Li 2.77-2.93, 2 In 2.95, 2 Ag 3.08-3.09

Summary:
**Crystal system**: monoclinic
**Calculated density**: 5.5 g/cm³
**SG**: No. 12


(2)
## Li4InAg3 (PBE)

Data for crystalline Li4InAg3 at its relaxed geometry.

a = 9.4971 Å, b = 5.9016 Å, c = 4.8171 Å
α = 90.00°, β = 90.00°, γ = 90.00°
Last column: nearest neighbours and their distance in Å.
Element x y z (fractional)
1 Li 0.0000 0.2425 0.0000  6 Ag 2.80-2.85, 2 In 2.85, 4 Li 2.86-3.07
2 Li 0.0000 0.7575 0.0000  6 Ag 2.80-2.85, 2 In 2.85, 4 Li 2.86-3.07
3 Li 0.2500 0.2436 0.4028  6 Ag 2.80-2.88, 2 In 2.85, 4 Li 2.87-3.07
4 Li 0.2500 0.7564 0.4028  6 Ag 2.80-2.88, 2 In 2.85, 4 Li 2.87-3.07
5 Li 0.5000 0.2425 0.0000  6 Ag 2.80-2.85, 2 In 2.85, 4 Li 2.86-3.07
6 Li 0.5000 0.7575 0.0000  6 Ag 2.80-2.85, 2 In 2.85, 4 Li 2.86-3.07
7 Li 0.7500 0.2436 0.5972  6 Ag 2.80-2.88, 2 In 2.85, 4 Li 2.87-3.07
8 Li 0.7500 0.7564 0.5972  6 Ag 2.80-2.88, 2 In 2.85, 4 Li 2.87-3.07
9 In 0.0000 0.5000 0.5000  8 Li 2.85, 4 Ag 2.95-3.09
10 In 0.5000 0.5000 0.5000  8 Li 2.85, 4 Ag 2.95-3.09
11 Ag 0.0000 0.0000 0.5000  8 Li 2.80-2.81, 2 In 2.95, 2 Ag 3.06
12 Ag 0.2500 0.0000 0.9020  8 Li 2.80-2.81, 4 Ag 2.95-3.06
13 Ag 0.2500 0.5000 0.9120  8 Li 2.81-2.88, 2 Ag 2.95, 2 In 3.09
14 Ag 0.5000 0.0000 0.5000  8 Li 2.80-2.81, 2 In 2.95, 2 Ag 3.06
15 Ag 0.7500 0.0000 0.0980  8 Li 2.80-2.81, 4 Ag 2.95-3.06
16 Ag 0.7500 0.5000 0.0880  8 Li 2.81-2.88, 2 Ag 2.95, 2 In 3.09

Summary:
**Crystal system**: orthorhombic
**Calculated density**: 5.7 g/cm³
**SG**: No. 51


Energy ordering: (2) at the bottom, the next structure 58 meV/atom above.


(1)
## Li3InAg3 (PBE)

Data for crystalline Li3InAg3 at its relaxed geometry.

a = 7.3948 Å, b = 7.3948 Å, c = 7.3948 Å
α = 56.99°, β = 56.99°, γ = 56.99°
Last column: nearest neighbours and their distance in Å.
Element x y z (fractional)
1 Li 0.0588 0.5791 0.2247  4 Ag 2.68-2.84, 2 Li 2.91
2 Li 0.2247 0.0588 0.5791  4 Ag 2.68-2.84, 2 Li 2.91
3 Li 0.4209 0.7753 0.9412  4 Ag 2.68-2.84, 2 Li 2.91
4 Li 0.5791 0.2247 0.0588  4 Ag 2.68-2.84, 2 Li 2.91
5 Li 0.7753 0.9412 0.4209  4 Ag 2.68-2.84, 2 Li 2.91
6 Li 0.9412 0.4209 0.7753  4 Ag 2.68-2.84, 2 Li 2.91
7 In 0.1577 0.1577 0.1577  6 Ag 2.90-3.12, 6 Li 3.05-3.14
8 In 0.8423 0.8423 0.8423  6 Ag 2.90-3.12, 6 Li 3.05-3.14
9 Ag 0.2046 0.6777 0.4248  4 Li 2.68-2.84, 4 Ag 2.89-2.91, 1 In 2.90
10 Ag 0.3223 0.5752 0.7954  4 Li 2.68-2.84, 4 Ag 2.89-2.91, 1 In 2.90
11 Ag 0.4248 0.2046 0.6777  4 Li 2.68-2.84, 4 Ag 2.89-2.91, 1 In 2.90
12 Ag 0.5752 0.7954 0.3223  4 Li 2.68-2.84, 4 Ag 2.89-2.91, 1 In 2.90
13 Ag 0.6777 0.4248 0.2046  4 Li 2.68-2.84, 4 Ag 2.89-2.91, 1 In 2.90
14 Ag 0.7954 0.3223 0.5752  4 Li 2.68-2.84, 4 Ag 2.89-2.91, 1 In 2.90

Summary:
**Crystal system**: trigonal
**Calculated density**: 5.7 g/cm³
**SG**: No. 148


(2)
## Li3InAg3 (PBE)

Data for crystalline Li3InAg3 at its relaxed geometry.

a = 6.5301 Å, b = 6.5301 Å, c = 5.9914 Å
α = 90.00°, β = 90.00°, γ = 91.53°
Last column: nearest neighbours and their distance in Å.
Element x y z (fractional)
1 Li 0.2192 0.7808 0.0000  6 Ag 2.71-3.02, 2 Li 3.01
2 Li 0.2473 0.2473 0.0000  6 Ag 2.74-2.75, 2 In 3.04, 2 Li 3.05
3 Li 0.2550 0.7450 0.5000  6 Ag 2.75-2.76, 2 In 2.96, 2 Li 3.01
4 Li 0.7450 0.2550 0.5000  6 Ag 2.75-2.76, 2 In 2.96, 2 Li 3.01
5 Li 0.7527 0.7527 0.0000  6 Ag 2.74-2.75, 2 In 3.04, 2 Li 3.05
6 Li 0.7808 0.2192 0.0000  6 Ag 2.71-3.02, 2 Li 3.01
7 In 0.1930 0.1930 0.5000  6 Ag 2.86-3.18, 4 Li 2.96-3.04
8 In 0.8070 0.8070 0.5000  6 Ag 2.86-3.18, 4 Li 2.96-3.04
9 Ag 0.0000 0.5000 0.2400  6 Li 2.71-2.76, 2 In 2.86, 1 Ag 2.88
10 Ag 0.0000 0.5000 0.7600  6 Li 2.71-2.76, 2 In 2.86, 1 Ag 2.88
11 Ag 0.5000 0.0000 0.2400  6 Li 2.71-2.76, 2 In 2.86, 1 Ag 2.88
12 Ag 0.5000 0.0000 0.7600  6 Li 2.71-2.76, 2 In 2.86, 1 Ag 2.88
13 Ag 0.5000 0.5000 0.2470  6 Li 2.74-3.02, 2 Ag 2.96-3.03
14 Ag 0.5000 0.5000 0.7530  6 Li 2.74-3.02, 2 Ag 2.96-3.03

Summary:
**Crystal system**: orthorhombic
**Calculated density**: 6.0 g/cm³
**SG**: No. 65


Energy ordering: (2) at the bottom, the next structure 48 meV/atom above.


(1)
## RbLi2InAg (PBE)

Data for crystalline RbLi2InAg at its relaxed geometry.

a = 5.2408 Å, b = 5.2408 Å, c = 6.3926 Å
α = 90.00°, β = 90.00°, γ = 90.00°
Last column: nearest neighbours and their distance in Å.
Element x y z (fractional)
1 Rb 0.0000 0.0000 0.0000  2 Ag 3.20
2 Li 0.0000 0.5000 0.5000  2 Ag 2.62
3 Li 0.5000 0.0000 0.5000  2 Ag 2.62
4 In 0.5000 0.5000 0.0000  4 Rb 3.71, 8 Li 4.13
5 Ag 0.0000 0.0000 0.5000  4 Li 2.62

Summary:
**Crystal system**: tetragonal
**Calculated density**: 3.0 g/cm³
**SG**: No. 123


(2)
## RbLi2InAg (PBE)

Data for crystalline RbLi2InAg at its relaxed geometry.

a = 5.3817 Å, b = 5.3817 Å, c = 5.3012 Å
α = 90.00°, β = 90.00°, γ = 90.00°
Last column: nearest neighbours and their distance in Å.
Element x y z (fractional)
1 Rb 0.0000 0.0000 0.0000  8 Li 3.78, 4 In 3.81
2 Li 0.0000 0.5000 0.5000  2 Ag 2.69
3 Li 0.5000 0.0000 0.5000  2 Ag 2.69
4 In 0.5000 0.5000 0.0000  2 Ag 2.65
5 Ag 0.5000 0.5000 0.5000  2 In 2.65, 4 Li 2.69

Summary:
**Crystal system**: tetragonal
**Calculated density**: 3.5 g/cm³
**SG**: No. 123


Energy ordering: (2) at the bottom, the next structure 237 meV/atom above.


(1)
## LuInAg2 (PBE)

Data for crystalline LuInAg2 at its relaxed geometry.

a = 3.6932 Å, b = 3.6932 Å, c = 6.4197 Å
α = 90.00°, β = 90.00°, γ = 90.00°
Last column: nearest neighbours and their distance in Å.
Element x y z (fractional)
1 Lu 0.0000 0.0000 0.0000  8 Ag 3.03, 2 In 3.21
2 In 0.0000 0.0000 0.5000  8 Ag 3.10, 2 Lu 3.21
3 Ag 0.5000 0.5000 0.2396  4 Lu 3.03, 2 Ag 3.08-3.34, 4 In 3.10
4 Ag 0.5000 0.5000 0.7604  4 Lu 3.03, 2 Ag 3.08-3.34, 4 In 3.10

Summary:
**Crystal system**: tetragonal
**Calculated density**: 9.6 g/cm³
**SG**: No. 123


(2)
## LuInAg2 (PBE)

Data for crystalline LuInAg2 at its relaxed geometry.

a = 6.9195 Å, b = 6.9195 Å, c = 6.9195 Å
α = 90.00°, β = 90.00°, γ = 90.00°
Last column: nearest neighbours and their distance in Å.
Element x y z (fractional)
1 Lu 0.0000 0.0000 0.0000  8 Ag 3.00
2 Lu 0.0000 0.5000 0.5000  8 Ag 3.00
3 Lu 0.5000 0.0000 0.5000  8 Ag 3.00
4 Lu 0.5000 0.5000 0.0000  8 Ag 3.00
5 In 0.0000 0.0000 0.5000  8 Ag 3.00
6 In 0.0000 0.5000 0.0000  8 Ag 3.00
7 In 0.5000 0.0000 0.0000  8 Ag 3.00
8 In 0.5000 0.5000 0.5000  8 Ag 3.00
9 Ag 0.2500 0.2500 0.2500  4 In 3.00, 4 Lu 3.00
10 Ag 0.2500 0.2500 0.7500  4 In 3.00, 4 Lu 3.00
11 Ag 0.2500 0.7500 0.2500  4 In 3.00, 4 Lu 3.00
12 Ag 0.2500 0.7500 0.7500  4 In 3.00, 4 Lu 3.00
13 Ag 0.7500 0.2500 0.2500  4 In 3.00, 4 Lu 3.00
14 Ag 0.7500 0.2500 0.7500  4 In 3.00, 4 Lu 3.00
15 Ag 0.7500 0.7500 0.2500  4 In 3.00, 4 Lu 3.00
16 Ag 0.7500 0.7500 0.7500  4 Lu 3.00, 4 In 3.00

Summary:
**Crystal system**: cubic
**Calculated density**: 10.1 g/cm³
**SG**: No. 225


Energy ordering: (2) at the bottom, the next structure 111 meV/atom above.


(1)
## MgInAg2 (PBE)

Data for crystalline MgInAg2 at its relaxed geometry.

a = 3.1596 Å, b = 3.1596 Å, c = 28.0155 Å
α = 90.00°, β = 90.00°, γ = 120.00°
Last column: nearest neighbours and their distance in Å.
Element x y z (fractional)
1 Mg 0.0000 0.0000 0.0000  6 Ag 2.90, 6 Mg 3.16
2 Mg 0.3333 0.6667 0.6667  6 Ag 2.90, 6 Mg 3.16
3 Mg 0.6667 0.3333 0.3333  6 Ag 2.90, 6 Mg 3.16
4 In 0.0000 0.0000 0.5000  6 Ag 3.02, 6 In 3.16
5 In 0.3333 0.6667 0.1667  6 Ag 3.02, 6 In 3.16
6 In 0.6667 0.3333 0.8333  6 Ag 3.02, 6 In 3.16
7 Ag 0.0000 0.0000 0.2527  3 Mg 2.90, 3 In 3.02, 6 Ag 3.16
8 Ag 0.0000 0.0000 0.7473  3 Mg 2.90, 3 In 3.02, 6 Ag 3.16
9 Ag 0.3333 0.6667 0.4139  3 Mg 2.90, 3 In 3.02, 6 Ag 3.16
10 Ag 0.3333 0.6667 0.9194  3 Mg 2.90, 3 In 3.02, 6 Ag 3.16
11 Ag 0.6667 0.3333 0.0806  3 Mg 2.90, 3 In 3.02, 6 Ag 3.16
12 Ag 0.6667 0.3333 0.5861  3 Mg 2.90, 3 In 3.02, 6 Ag 3.16

Summary:
**Crystal system**: trigonal
**Calculated density**: 7.3 g/cm³
**SG**: No. 166


(2)
## MgInAg2 (PBE)

Data for crystalline MgInAg2 at its relaxed geometry.

a = 9.6648 Å, b = 3.0821 Å, c = 5.3644 Å
α = 90.00°, β = 98.75°, γ = 90.00°
Last column: nearest neighbours and their distance in Å.
Element x y z (fractional)
1 Mg 0.0000 0.0000 0.0000  6 Ag 2.94-2.96, 2 Mg 3.08, 4 In 3.09
2 Mg 0.5000 0.5000 0.0000  6 Ag 2.94-2.96, 2 Mg 3.08, 4 In 3.09
3 In 0.0000 0.5000 0.5000  6 Ag 2.93-3.05, 2 In 3.08, 4 Mg 3.09
4 In 0.5000 0.0000 0.5000  6 Ag 2.93-3.05, 2 In 3.08, 4 Mg 3.09
5 Ag 0.2457 0.5000 0.2393  3 In 2.93-3.05, 3 Mg 2.94-2.96, 6 Ag 3.01-3.18
6 Ag 0.2543 0.0000 0.7607  3 In 2.93-3.05, 3 Mg 2.94-2.96, 6 Ag 3.01-3.18
7 Ag 0.7457 0.0000 0.2393  3 In 2.93-3.05, 3 Mg 2.94-2.96, 6 Ag 3.01-3.18
8 Ag 0.7543 0.5000 0.7607  3 In 2.93-3.05, 3 Mg 2.94-2.96, 6 Ag 3.01-3.18

Summary:
**Crystal system**: monoclinic
**Calculated density**: 7.5 g/cm³
**SG**: No. 12


(3)
## MgInAg2 (PBE)

Data for crystalline MgInAg2 at its relaxed geometry.

a = 6.0394 Å, b = 9.6813 Å, c = 3.0045 Å
α = 90.00°, β = 115.14°, γ = 90.00°
Last column: nearest neighbours and their distance in Å.
Element x y z (fractional)
1 Mg 0.0000 0.0000 0.0000  4 Ag 2.91, 2 Mg 3.00, 4 In 3.02-3.23
2 Mg 0.5000 0.5000 0.0000  4 Ag 2.91, 2 Mg 3.00, 4 In 3.02-3.23
3 In 0.0000 0.5000 0.0000  4 Ag 2.91, 2 In 3.00, 4 Mg 3.02-3.23
4 In 0.5000 0.0000 0.0000  4 Ag 2.91, 2 In 3.00, 4 Mg 3.02-3.23
5 Ag 0.2500 0.2500 0.5000  2 In 2.91, 2 Mg 2.91, 6 Ag 3.00-3.23
6 Ag 0.2500 0.7500 0.5000  2 In 2.91, 2 Mg 2.91, 6 Ag 3.00-3.23
7 Ag 0.7500 0.2500 0.5000  2 Mg 2.91, 2 In 2.91, 6 Ag 3.00-3.23
8 Ag 0.7500 0.7500 0.5000  2 In 2.91, 2 Mg 2.91, 6 Ag 3.00-3.23

Summary:
**Crystal system**: monoclinic
**Calculated density**: 7.4 g/cm³
**SG**: No. 12


(4)
## MgInAg2 (PBE)

Data for crystalline MgInAg2 at its relaxed geometry.

a = 3.2072 Å, b = 4.0411 Å, c = 6.0875 Å
α = 90.00°, β = 90.00°, γ = 90.00°
Last column: nearest neighbours and their distance in Å.
Element x y z (fractional)
1 Mg 0.0000 0.0000 0.0000  5 Ag 2.86-2.89, 4 In 3.12
2 In 0.5000 0.5000 0.7123  6 Ag 2.97-3.06, 4 Mg 3.12, 2 In 3.21
3 Ag 0.0000 0.0000 0.4698  1 Mg 2.86, 4 In 2.97, 4 Ag 3.01
4 Ag 0.5000 0.5000 0.2156  4 Mg 2.89, 6 Ag 3.01-3.21, 2 In 3.02-3.06

Summary:
**Crystal system**: orthorhombic
**Calculated density**: 7.5 g/cm³
**SG**: No. 25


Energy ordering: (4) at the bottom, the next structure 19 meV/atom above.


(1)
## MgInAg2 (PBE)

Data for crystalline MgInAg2 at its relaxed geometry.

a = 3.0850 Å, b = 4.6266 Å, c = 5.8047 Å
α = 90.00°, β = 105.01°, γ = 90.00°
Last column: nearest neighbours and their distance in Å.
Element x y z (fractional)
1 Mg 0.0000 0.0000 0.0000  7 Ag 2.93-3.03, 2 Mg 3.08
2 In 0.3234 0.5000 0.6588  7 Ag 2.85-3.16, 2 In 3.08
3 Ag 0.5808 0.5000 0.1676  4 Ag 2.85-3.08, 3 In 2.85-3.16, 4 Mg 2.93-2.94
4 Ag 0.7265 0.0000 0.4649  4 Ag 2.85-3.08, 4 In 2.98-2.99, 3 Mg 3.00-3.03

Summary:
**Crystal system**: monoclinic
**Calculated density**: 7.4 g/cm³
**SG**: No. 6


(2)
## MgInAg2 (PBE)

Data for crystalline MgInAg2 at its relaxed geometry.

a = 4.5554 Å, b = 4.5554 Å, c = 3.7624 Å
α = 90.00°, β = 90.00°, γ = 90.00°
Last column: nearest neighbours and their distance in Å.
Element x y z (fractional)
1 Mg 0.0000 0.0000 0.0000  8 Ag 2.95, 4 In 3.22
2 In 0.5000 0.5000 0.0000  8 Ag 2.95, 4 Mg 3.22
3 Ag 0.0000 0.5000 0.5000  4 In 2.95, 4 Mg 2.95, 4 Ag 3.22
4 Ag 0.5000 0.0000 0.5000  4 In 2.95, 4 Mg 2.95, 4 Ag 3.22

Summary:
**Crystal system**: tetragonal
**Calculated density**: 7.5 g/cm³
**SG**: No. 123


Energy ordering: (2) at the bottom, the next structure 33 meV/atom above.